<a>
VASP calculation (PBE) on crystalline Cs2In2Bi3 at its relaxed geometry.

Computed properties:
Crystal system: triclinic
N(E_F), states/eV/cell: 3.240

Cell: 4.7936 7.5745 9.5382 Å, 93.32 90.48 108.21°
Sites, in units of the cell vectors:
Cs (0.1357, 0.2613, 0.3557)
Cs (0.8643, 0.7387, 0.6443)
In (0.3481, 0.6969, 0.0064)
In (0.6519, 0.3031, 0.9936)
Bi (0.0000, 0.0000, 0.0000)
Bi (0.1744, 0.3524, 0.7872)
Bi (0.8256, 0.6476, 0.2128)

<b>
VASP calculation (PBE) on crystalline Cs2In2Bi3 at its relaxed geometry.

Computed properties:
Crystal system: monoclinic
N(E_F), states/eV/cell: 3.038

Cell: 10.8349 10.8349 14.4209 Å, 124.26 124.26 27.12°
Sites, in units of the cell vectors:
Cs (0.1185, 0.1185, 0.4665)
Cs (0.2389, 0.2389, 0.8477)
Cs (0.7611, 0.7611, 0.1523)
Cs (0.8815, 0.8815, 0.5335)
In (0.0822, 0.0822, 0.1391)
In (0.4792, 0.4792, 0.2100)
In (0.5208, 0.5208, 0.7900)
In (0.9178, 0.9178, 0.8609)
Bi (0.0921, 0.0921, 0.9358)
Bi (0.3550, 0.3550, 0.7195)
Bi (0.4349, 0.4349, 0.3761)
Bi (0.5651, 0.5651, 0.6239)
Bi (0.6450, 0.6450, 0.2805)
Bi (0.9079, 0.9079, 0.0642)

Short version: <b> is the most stable of them.